Record 1
Computed, not measured: a relaxed structure of AlSnSb at the GGA-PBE level of DFT.

Values from the calculation:
**Uncorrected formation energy**: 0.0758 eV/atom
**Density of states at the Fermi level**: 0.76 states/eV/cell
**Density**: 4.9 Mg/m³
**Energy above the lowest structure with this stoichiometry**: 1.71 kcal/mol of atoms

Cell lengths 4.4462, 6.3702, 6.8429 Å; angles 101.38, 91.46, 107.22 degrees
With the nearest neighbours (Å) after each atom.
Space group P1 (No. 1)
Symmetry-distinct sites (fractional):
1 Al 0.0000 0.0000 0.0000 (multiplicity 1)  3 Sb 2.72-2.74, 2 Sn 2.88-3.03
2 Al 0.3814 0.8612 0.4226 (multiplicity 1)  3 Sb 2.70-2.76, 1 Sn 2.76
3 Sn 0.0679 0.4690 0.1505 (multiplicity 1)  2 Al 2.76-2.88, 1 Sn 3.01, 1 Sb 3.06
4 Sn 0.5146 0.3358 0.8405 (multiplicity 1)  2 Sn 3.01-3.11, 1 Al 3.03, 2 Sb 3.17-3.27
5 Sb 0.4106 0.7992 0.8101 (multiplicity 1)  3 Al 2.72-2.76
6 Sb 0.9826 0.1134 0.4048 (multiplicity 1)  3 Al 2.70-2.74

Record 2
Computed, not measured: a relaxed structure of AlSn3Sb at the GGA-PBE level of DFT.

Values from the calculation:
**Uncorrected formation energy**: 0.3740 eV/atom
**Density of states at the Fermi level**: 2.16 states/eV/cell
**Density**: 5.6 Mg/m³
**Energy above the lowest structure with this stoichiometry**: 0.00 kcal/mol of atoms

Cell lengths 5.2980, 5.2980, 5.2980 Å; angles 90.00, 90.00, 90.00 degrees
With the nearest neighbours (Å) after each atom.
Space group Pm-3m (No. 221)
Symmetry-distinct sites (fractional):
1 Al 0.0000 0.0000 0.0000 (multiplicity 1)  6 Sn 2.65
2 Sn 0.0000 0.0000 0.5000 (multiplicity 3)  2 Al 2.65
3 Sb 0.5000 0.5000 0.5000 (multiplicity 1)  12 Sn 3.75

Record 3
Computed, not measured: a relaxed structure of AlSnSb at the GGA-PBE level of DFT.

Values from the calculation:
**Uncorrected formation energy**: 0.0656 eV/atom
**Density of states at the Fermi level**: 0.92 states/eV/cell
**Density**: 5.3 Mg/m³
**Energy above the lowest structure with this stoichiometry**: 1.48 kcal/mol of atoms

Cell lengths 9.3576, 9.0711, 4.4608 Å; angles 90.00, 118.43, 90.00 degrees
With the nearest neighbours (Å) after each atom.
Space group C2 (No. 5)
Symmetry-distinct sites (fractional):
1 Al 0.2490 0.0000 0.0649 (multiplicity 4)  2 Sb 2.73-2.89, 2 Sn 2.75
2 Sn 0.0000 0.3724 0.0000 (multiplicity 2)  2 Al 2.75, 2 Sb 2.95
3 Sn 0.0000 0.8703 0.5000 (multiplicity 2)  2 Al 2.75, 2 Sb 2.95
4 Sb 0.2490 0.1886 0.5417 (multiplicity 4)  2 Al 2.73-2.89, 2 Sn 2.95

Record 4
Computed, not measured: a relaxed structure of AlSnSb at the GGA-PBE level of DFT.

Values from the calculation:
**Uncorrected formation energy**: 0.0701 eV/atom
**Density of states at the Fermi level**: 1.88 states/eV/cell
**Density**: 5.0 Mg/m³
**Energy above the lowest structure with this stoichiometry**: 1.58 kcal/mol of atoms

Cell lengths 4.4334, 4.6036, 8.6262 Å; angles 89.55, 89.87, 87.98 degrees
With the nearest neighbours (Å) after each atom.
Space group P1 (No. 1)
Symmetry-distinct sites (fractional):
1 Al 0.0000 0.0000 0.0000 (multiplicity 1)  2 Sb 2.73-2.76, 3 Sn 2.78-2.90
2 Al 0.4992 0.4943 0.6390 (multiplicity 1)  4 Sb 2.71-2.76
3 Sn 0.2359 0.4806 0.1436 (multiplicity 1)  2 Al 2.78-2.85, 1 Sb 2.97, 1 Sn 3.08
4 Sn 0.6828 0.8965 0.2880 (multiplicity 1)  1 Al 2.90, 2 Sb 3.06-3.16, 1 Sn 3.08
5 Sb 0.0068 0.3982 0.4643 (multiplicity 1)  2 Al 2.71-2.73, 1 Sn 2.97
6 Sb 0.5052 0.9887 0.8131 (multiplicity 1)  4 Al 2.73-2.76

Record 5
Computed, not measured: a relaxed structure of AlSnSb at the GGA-PBE level of DFT.

Values from the calculation:
**Uncorrected formation energy**: 0.0841 eV/atom
**Density of states at the Fermi level**: 2.47 states/eV/cell
**Density**: 5.8 Mg/m³
**Energy above the lowest structure with this stoichiometry**: 1.91 kcal/mol of atoms

Cell lengths 4.1334, 6.1044, 6.6239 Å; angles 98.33, 106.24, 102.96 degrees
With the nearest neighbours (Å) after each atom.
Space group P1 (No. 1)
Symmetry-distinct sites (fractional):
1 Al 0.0000 0.0000 0.0000 (multiplicity 1)  1 Al 2.76, 2 Sb 2.83-2.98, 3 Sn 2.91-3.06
2 Al 0.4582 0.6268 0.7364 (multiplicity 1)  1 Al 2.76, 3 Sb 2.78-2.96, 1 Sn 2.97
3 Sn 0.0881 0.5254 0.0515 (multiplicity 1)  4 Al 2.97-3.10, 3 Sb 3.06-3.24
4 Sn 0.6885 0.0652 0.3397 (multiplicity 1)  2 Al 2.91-3.00, 4 Sb 3.03-3.23
5 Sb 0.3991 0.1336 0.7317 (multiplicity 1)  4 Al 2.83-3.16, 1 Sn 3.16
6 Sb 0.8123 0.5828 0.4336 (multiplicity 1)  2 Al 2.78-2.81, 2 Sn 3.03-3.06

Record 6
Computed, not measured: a relaxed structure of Al2SnSb2 at the GGA-PBE level of DFT.

Values from the calculation:
**Uncorrected formation energy**: 0.1265 eV/atom
**Density of states at the Fermi level**: 5.40 states/eV/cell
**Density**: 5.4 Mg/m³
**Energy above the lowest structure with this stoichiometry**: 0.00 kcal/mol of atoms

Cell lengths 4.1217, 4.1217, 15.0250 Å; angles 90.00, 90.00, 90.00 degrees
With the nearest neighbours (Å) after each atom.
Space group I4/mmm (No. 139)
Symmetry-distinct sites (fractional):
1 Al 0.0000 0.5000 0.2500 (multiplicity 4)  4 Sb 2.85, 4 Al 2.91
2 Sn 0.0000 0.0000 0.0000 (multiplicity 2)  8 Sb 3.42
3 Sb 0.0000 0.0000 0.3807 (multiplicity 4)  4 Al 2.85

Record 7
Computed, not measured: a relaxed structure of AlSnSb at the GGA-PBE level of DFT.

Values from the calculation:
**Uncorrected formation energy**: 0.0625 eV/atom
**Density of states at the Fermi level**: 2.17 states/eV/cell
**Density**: 5.5 Mg/m³
**Energy above the lowest structure with this stoichiometry**: 1.41 kcal/mol of atoms

Cell lengths 8.6373, 9.6289, 4.4572 Å; angles 90.00, 119.59, 90.00 degrees
With the nearest neighbours (Å) after each atom.
Space group Cm (No. 8)
Symmetry-distinct sites (fractional):
1 Al 0.0000 0.1353 0.0000 (multiplicity 4)  1 Al 2.60, 3 Sb 2.76-2.78
2 Sn 0.2208 0.5000 0.2449 (multiplicity 2)  1 Sn 3.04, 2 Sb 3.20, 4 Al 3.29-3.36
3 Sn 0.3988 0.0000 0.5220 (multiplicity 2)  1 Sn 3.04, 4 Sb 3.16-3.40, 2 Al 3.33
4 Sb 0.1625 0.2510 0.6536 (multiplicity 4)  3 Al 2.76-2.78

Record 8
Computed, not measured: a relaxed structure of AlSnSb at the GGA-PBE level of DFT.

Values from the calculation:
**Uncorrected formation energy**: 0.0014 eV/atom
**Density of states at the Fermi level**: 0.14 states/eV/cell
**Density**: 4.3 Mg/m³
**Energy above the lowest structure with this stoichiometry**: 0.00 kcal/mol of atoms

Cell lengths 12.6062, 4.4968, 7.5739 Å; angles 90.00, 104.87, 90.00 degrees
With the nearest neighbours (Å) after each atom.
Space group Cm (No. 8)
Symmetry-distinct sites (fractional):
1 Al 0.0000 0.0000 0.0000 (multiplicity 2)  3 Sb 2.68-2.72, 1 Sn 2.73
2 Al 0.0331 0.5000 0.4979 (multiplicity 2)  1 Sn 2.69, 3 Sb 2.72-2.75
3 Sn 0.2134 0.0000 0.1992 (multiplicity 2)  1 Al 2.73, 2 Sn 2.85, 1 Sb 2.86
4 Sn 0.2346 0.5000 0.4375 (multiplicity 2)  1 Al 2.69, 2 Sn 2.85, 1 Sb 2.88
5 Sb 0.4265 0.0000 0.1323 (multiplicity 2)  3 Al 2.72-2.75, 1 Sn 2.86
6 Sb 0.4623 0.5000 0.6349 (multiplicity 2)  3 Al 2.68-2.72, 1 Sn 2.88

Record 9
Computed, not measured: a relaxed structure of AlSn2Sb at the GGA-PBE level of DFT.

Values from the calculation:
**Uncorrected formation energy**: 0.0470 eV/atom
**Density of states at the Fermi level**: 0.00 states/eV/cell
**Density**: 4.7 Mg/m³
**Energy above the lowest structure with this stoichiometry**: 0.00 kcal/mol of atoms

Cell lengths 6.4528, 6.4528, 13.0237 Å; angles 90.00, 90.00, 90.00 degrees
With the nearest neighbours (Å) after each atom.
Space group I-42d (No. 122)
Symmetry-distinct sites (fractional):
1 Al 0.0000 0.0000 0.0000 (multiplicity 4)  4 Sn 2.71
2 Sn 0.2242 0.2500 0.1250 (multiplicity 8)  2 Al 2.71, 2 Sb 2.90
3 Sb 0.0000 0.0000 0.5000 (multiplicity 4)  4 Sn 2.90

Record 10
Computed, not measured: a relaxed structure of AlSnSb2 at the GGA-PBE level of DFT.

Values from the calculation:
**Uncorrected formation energy**: 0.0527 eV/atom
**Density of states at the Fermi level**: 4.70 states/eV/cell
**Density**: 6.0 Mg/m³
**Energy above the lowest structure with this stoichiometry**: 0.34 kcal/mol of atoms

Cell lengths 4.0659, 4.0659, 22.4386 Å; angles 90.00, 90.00, 120.00 degrees
With the nearest neighbours (Å) after each atom.
Space group R3m (No. 160, hexagonal axes)
Symmetry-distinct sites (fractional):
1 Al 0.0000 0.0000 0.0000 (multiplicity 3)  6 Sb 2.84-2.87
2 Sn 0.0000 0.0000 0.8334 (multiplicity 3)  6 Sb 3.14-3.17
3 Sb 0.0000 0.0000 0.4049 (multiplicity 3)  3 Al 2.84, 3 Sn 3.17
4 Sb 0.0000 0.0000 0.5930 (multiplicity 3)  3 Al 2.87, 3 Sn 3.14

Record 11
Computed, not measured: a relaxed structure of Al2SnSb at the GGA-PBE level of DFT.

Values from the calculation:
**Uncorrected formation energy**: 0.0943 eV/atom
**Density of states at the Fermi level**: 9.92 states/eV/cell
**Density**: 4.0 Mg/m³
**Energy above the lowest structure with this stoichiometry**: 0.00 kcal/mol of atoms

Cell lengths 6.3270, 6.3270, 12.2597 Å; angles 90.00, 90.00, 90.00 degrees
With the nearest neighbours (Å) after each atom.
Space group I-42d (No. 122)
Symmetry-distinct sites (fractional):
1 Al 0.2483 0.2500 0.1250 (multiplicity 8)  2 Sb 2.71, 2 Sn 2.72
2 Sn 0.0000 0.0000 0.5000 (multiplicity 4)  4 Al 2.72
3 Sb 0.0000 0.0000 0.0000 (multiplicity 4)  4 Al 2.71

Record 12
Computed, not measured: a relaxed structure of AlSnSb at the GGA-PBE level of DFT.

Values from the calculation:
**Uncorrected formation energy**: 0.0784 eV/atom
**Density of states at the Fermi level**: 6.49 states/eV/cell
**Density**: 5.4 Mg/m³
**Energy above the lowest structure with this stoichiometry**: 1.77 kcal/mol of atoms

Cell lengths 8.2807, 9.5263, 4.4818 Å; angles 90.00, 110.20, 90.00 degrees
With the nearest neighbours (Å) after each atom.
Space group Cm (No. 8)
Symmetry-distinct sites (fractional):
1 Al 0.0000 0.2362 0.0000 (multiplicity 4)  3 Sb 2.72-2.80, 2 Sn 2.87
2 Sn 0.2171 0.0000 0.0089 (multiplicity 2)  2 Al 2.87, 2 Sn 2.97-3.00
3 Sn 0.4707 0.0000 0.6742 (multiplicity 2)  2 Al 2.87, 2 Sn 2.97-3.00
4 Sb 0.3175 0.3443 0.3728 (multiplicity 4)  3 Al 2.72-2.80, 1 Sb 2.97